1.
A plane-wave DFT calculation with PBE was carried out for a relaxed B7C5 crystal.

For the density of states at the Fermi level, the calculation gives 2.5 states/eV per cell. The value obtained for the calculated total energy is -7.398 eV per atom.

a b c (Å): 6.4711 7.0827 7.0827
angles (deg): 158.09 134.58 51.47
Atoms (fractional coordinates):
B1 0.0723 0.3110 0.7613
B2 0.7472 0.3413 0.4059
B3 0.5969 0.1964 0.4005
B4 0.0043 0.9730 0.0313
B5 0.5130 0.8598 0.6532
B6 0.0399 0.6471 0.3929
B7 0.4535 0.5114 0.9421
C1 0.9312 0.0707 0.8605
C2 0.6033 0.9896 0.6137
C3 0.1687 0.7761 0.3925
C4 0.5357 0.6407 0.8949
C5 0.0840 0.4330 0.6511

=====

2.
A plane-wave DFT calculation with PBE was carried out for a relaxed B7C5 crystal.

For the density of states at the Fermi level, the calculation gives 1.9 states/eV per cell. The value obtained for the calculated total energy is -7.240 eV per atom.

a b c (Å): 2.5148 4.7690 6.9188
angles (deg): 92.24 90.00 90.00
Atoms (fractional coordinates):
B1 0.5000 0.8160 0.3758
B2 0.5000 0.5137 0.2096
B3 0.5000 0.2059 0.8960
B4 0.0000 0.3306 0.6070
B5 0.0000 0.3374 0.3455
B6 0.0000 0.9932 0.2402
B7 0.0000 0.9797 0.9946
C1 0.5000 0.5203 0.9805
C2 0.0000 0.6701 0.6780
C3 0.0000 0.6662 0.9062
C4 0.5000 0.1410 0.6610
C5 0.5000 0.8260 0.6056